# 1
Material: EuVSn2
Method: DFT, PBE
State: optimized geometry

Lattice parameters (Å, degrees): 3.2808 3.2808 32.4872 90.00 90.00 120.00
Space group R-3m (No. 166, hexagonal axes)
Symmetry-distinct sites (fractional):
Eu1 0.0000 0.0000 0.0000 (multiplicity 3)
V1 0.0000 0.0000 0.5000 (multiplicity 3)
Sn1 0.0000 0.0000 0.1004 (multiplicity 6)

Calculated values
Raw total energy = -26.34 eV per formula unit
Calculated formation energy = 265 meV/atom

=====

# 2
Material: EuTmN
Method: DFT, PBE
State: optimized geometry

Lattice parameters (Å, degrees): 3.5295 3.5295 6.2897 90.00 90.00 120.00
Space group P3m1 (No. 156)
Symmetry-distinct sites (fractional):
Eu1 0.0000 0.0000 0.0000 (multiplicity 1)
Tm1 0.3333 0.6667 0.4395 (multiplicity 1)
N1 0.6667 0.3333 0.2721 (multiplicity 1)

Calculated values
Relative energy among the computed polymorphs = 0.00 eV/f.u.
Raw total energy = -25.87 eV per formula unit
E_form (uncorrected) = -934 meV/atom

=====

# 3
Material: Hf5VBi2
Method: DFT, PBE
State: optimized geometry

Lattice parameters (Å, degrees): 4.8524 13.8113 12.5127 90.00 90.00 90.00
Space group Cmcm (No. 63)
Symmetry-distinct sites (fractional):
Hf1 0.0000 0.1213 0.1301 (multiplicity 8)
Hf2 0.0000 0.2931 0.7500 (multiplicity 4)
Hf3 0.0000 0.3111 0.0134 (multiplicity 8)
V1 0.0000 0.3072 0.2500 (multiplicity 4)
Bi1 0.0000 0.0971 0.6198 (multiplicity 8)

Calculated values
Raw total energy = -63.90 eV per formula unit
Calculated formation energy = 344 meV/atom

=====

# 4
Material: Cs2Rb2F
Method: DFT, PBE
State: optimized geometry

Lattice parameters (Å, degrees): 22.6388 5.0110 17.4156 90.00 129.13 90.00
Space group C2/m (No. 12)
Symmetry-distinct sites (fractional):
Cs1 0.0779 0.0000 0.2040 (multiplicity 4)
Cs2 0.2050 0.0000 0.5536 (multiplicity 4)
Rb1 0.0762 0.5000 0.6906 (multiplicity 4)
Rb2 0.1810 0.5000 0.0432 (multiplicity 4)
F1 0.2118 0.0000 0.3945 (multiplicity 4)

Calculated values
Raw total energy = -10.69 eV per formula unit
E_form (uncorrected) = -1036 meV/atom